(1)
VASP calculation (PBEsol) on a geometry-optimized HfSc2CoC structure.

POSCAR file:
```
HfSc2CoC
1.0
4.5635 0.0000 0.0000
0.0000 4.5635 0.0000
0.0000 0.0000 4.6264
Hf Sc Co C
1 2 1 1
direct
0.0000 0.0000 0.0000
0.0000 0.5000 0.5000
0.5000 0.0000 0.5000
0.0000 0.0000 0.5000
0.5000 0.5000 0.0000
```

- Total DFT energy (no corrections): -35.97 eV for the cell shown
- Formation energy from the elements: 1.024 eV/atom

(2)
VASP calculation (PBEsol) on a geometry-optimized CdSiN2 structure.

POSCAR file:
```
CdSiN2
1.0
-2.3890 2.3890 4.1222
2.3890 -2.3890 4.1222
2.3890 2.3890 -4.1222
Cd Si N
2 2 4
direct
0.0000 0.0000 0.0000
0.7500 0.2500 0.5000
0.2500 0.7500 0.5000
0.5000 0.5000 0.0000
0.2154 0.6250 0.0904
0.3750 0.4654 0.5904
0.5346 0.1250 0.9096
0.8750 0.7846 0.4096
```

- Uncorrected formation energy: -0.69 eV per atom
- Total DFT energy (no corrections): -53.54 eV for the cell shown

(3)
VASP calculation (PBEsol) on a geometry-optimized LiTl structure.

POSCAR file:
```
LiTl
1.0
5.8096 -5.8310 0.0000
5.8096 5.8310 0.0000
0.0000 0.0000 7.5909
Li Tl
12 12
direct
0.0802 0.4198 0.7500
0.1567 0.1567 0.0000
0.1929 0.8071 0.9082
0.3071 0.6929 0.4082
0.3433 0.3433 0.5000
0.4198 0.0802 0.2500
0.5802 0.9198 0.7500
0.6567 0.6567 0.5000
0.6929 0.3071 0.5918
0.8071 0.1929 0.0918
0.8433 0.8433 0.0000
0.9198 0.5802 0.2500
0.0155 0.2719 0.3973
0.0866 0.9134 0.2462
0.2281 0.4845 0.1027
0.2719 0.0155 0.6027
0.4134 0.5866 0.7462
0.4845 0.2281 0.8973
0.5155 0.7719 0.1027
0.5866 0.4134 0.2538
0.7281 0.9845 0.3973
0.7719 0.5155 0.8973
0.9134 0.0866 0.7538
0.9845 0.7281 0.6027
```

- Total DFT energy (no corrections): -59.36 eV for the cell shown
- Formation energy from the elements: -0.175 eV/atom

(4)
VASP calculation (PBEsol) on a geometry-optimized Fe2AgRhI structure.

POSCAR file:
```
Fe2AgRhI
1.0
4.5800 0.0000 0.0000
0.0000 4.5800 0.0000
0.0000 0.0000 4.7737
Fe Ag Rh I
2 1 1 1
direct
0.0000 0.5000 0.0000
0.5000 0.0000 0.0000
0.0000 0.0000 0.5000
0.5000 0.5000 0.5000
0.5000 0.5000 0.0000
```

- Uncorrected formation energy: 1.39 eV per atom
- Total DFT energy (no corrections): -24.21 eV for the cell shown

(5)
VASP calculation (PBEsol) on a geometry-optimized Y2AlIn structure.

POSCAR file:
```
Y2AlIn
1.0
5.1379 0.0000 0.0000
0.0000 5.1379 0.0000
0.0000 0.0000 3.6430
Y Al In
2 1 1
direct
0.0000 0.5000 0.0000
0.5000 0.0000 0.0000
0.0000 0.0000 0.5000
0.5000 0.5000 0.5000
```

- Total DFT energy (no corrections): -22.63 eV for the cell shown
- Formation energy from the elements: -0.478 eV/atom

(6)
VASP calculation (PBEsol) on a geometry-optimized Tl2PbAu structure.

POSCAR file:
```
Tl2PbAu
1.0
5.5507 -1.7713 0.0000
5.5507 1.7713 0.0000
-3.4926 0.0000 5.3702
Tl Pb Au
2 1 1
direct
0.0000 0.0000 0.0000
0.1880 0.1880 0.6086
0.7933 0.7933 0.1913
0.4735 0.4735 0.6162
```

- Total DFT energy (no corrections): -13.08 eV for the cell shown
- Formation energy from the elements: 0.027 eV/atom

- Look up the total DFT energy (no corrections) of the third one.
  -59.36 eV for the cell shown

- Which of these has the lowest total DFT energy (no corrections)?
  LiTl